[1]
The following is a DFT calculation (PBE) of crystalline Rb3Mo2Cl8 at its relaxed geometry.

abc: 16.344 13.018 7.918
angles: 90.00 90.00 90.00
Space group Ama2 (No. 40)
Inequivalent atoms, fractional coordinates:
Rb1 0.072 0.166 0.000 (multiplicity 8)
Rb2 0.250 0.488 0.001 (multiplicity 4)
Mo1 0.182 0.342 0.527 (multiplicity 8)
Cl1 0.086 0.390 0.763 (multiplicity 8)
Cl2 0.115 0.429 0.297 (multiplicity 8)
Cl3 0.125 0.186 0.427 (multiplicity 8)
Cl4 0.250 0.017 0.090 (multiplicity 4)
Cl5 0.250 0.232 0.759 (multiplicity 4)

Results
The calculation puts the total magnetization at 1.0 μB/f.u. For the uncorrected formation energy, the calculation gives -1.331 eV per atom.

[2]
The following is a DFT calculation (PBE) of crystalline ThNi3Ru at its relaxed geometry.

abc: 4.870 7.183 4.949
angles: 90.00 90.00 90.00
Space group Pbam (No. 55)
Inequivalent atoms, fractional coordinates:
Th1 0.000 0.000 0.000 (multiplicity 2)
Ni1 0.000 0.500 0.000 (multiplicity 2)
Ni2 0.002 0.171 0.500 (multiplicity 4)
Ru1 0.000 0.500 0.500 (multiplicity 2)

Results
The value obtained for the energy relative to the elements is 0.20 eV per atom. The calculation puts the total magnetization at 0.0 μB/f.u.

[3]
The following is a DFT calculation (PBE) of crystalline TcPb2Br at its relaxed geometry.

abc: 3.462 3.462 8.089
angles: 90.00 90.00 90.00
Space group P4/mmm (No. 123)
Inequivalent atoms, fractional coordinates:
Tc1 0.000 0.000 0.000 (multiplicity 1)
Pb1 0.500 0.500 0.207 (multiplicity 2)
Br1 0.000 0.000 0.500 (multiplicity 1)

Results
The calculation puts the total magnetization at 0.9 μB/f.u. For the uncorrected formation energy, the calculation gives 0.323 eV per atom.

[4]
The following is a DFT calculation (PBE) of crystalline TmTi2Pd8 at its relaxed geometry.

abc: 14.291 4.012 6.531
angles: 90.00 107.96 90.00
Space group C2/m (No. 12)
Inequivalent atoms, fractional coordinates:
Tm1 0.000 0.000 0.000 (multiplicity 2)
Ti1 0.222 0.500 0.666 (multiplicity 4)
Pd1 0.044 0.500 0.719 (multiplicity 4)
Pd2 0.105 0.000 0.466 (multiplicity 4)
Pd3 0.149 0.500 0.210 (multiplicity 4)
Pd4 0.183 0.000 0.916 (multiplicity 4)

Results
The value obtained for the energy relative to the elements is -0.67 eV per atom. The calculation puts the total magnetization at 0.0 μB/f.u.

[5]
The following is a DFT calculation (PBE) of crystalline Cd2CoRu at its relaxed geometry.

abc: 10.263 2.904 4.777
angles: 90.00 111.59 90.00
Space group Cm (No. 8)
Inequivalent atoms, fractional coordinates:
Cd1 0.000 0.000 0.000 (multiplicity 2)
Cd2 0.219 0.000 0.681 (multiplicity 2)
Co1 0.253 0.500 0.211 (multiplicity 2)
Ru1 0.453 0.000 0.461 (multiplicity 2)

Results
The value obtained for the energy relative to the elements is 0.34 eV per atom. The calculation puts the total magnetization at 2.0 μB/f.u.

[6]
The following is a DFT calculation (PBE) of crystalline Ac2AlI at its relaxed geometry.

abc: 3.874 3.874 9.004
angles: 90.00 90.00 90.00
Space group P4/mmm (No. 123)
Inequivalent atoms, fractional coordinates:
Ac1 0.000 0.000 0.225 (multiplicity 2)
Al1 0.500 0.500 0.000 (multiplicity 1)
I1 0.500 0.500 0.500 (multiplicity 1)

Results
The calculation puts the total magnetization at 0.0 μB/f.u. For the uncorrected formation energy, the calculation gives -0.588 eV per atom.

[7]
The following is a DFT calculation (PBE) of crystalline Cs3Tm3NpS8 at its relaxed geometry.

abc: 8.0295 8.0295 24.5788
angles: 90.00 90.00 120.00
Space group R-3m (No. 166, hexagonal axes)
Inequivalent atoms, fractional coordinates:
Cs1 0.0000 0.5000 0.0000 (multiplicity 9)
Tm1 0.0000 0.5000 0.5000 (multiplicity 9)
Np1 0.0000 0.0000 0.5000 (multiplicity 3)
S1 0.0000 0.0000 0.2257 (multiplicity 6)
S2 0.0021 0.5010 0.2254 (multiplicity 18)

Results
The calculation puts the total magnetization at 3.0 μB/f.u. For the uncorrected formation energy, the calculation gives -1.743 eV per atom.

[8]
The following is a DFT calculation (PBE) of crystalline YTmS2 at its relaxed geometry.

abc: 6.710 3.889 6.722
angles: 90.00 109.60 90.00
Space group C2/m (No. 12)
Inequivalent atoms, fractional coordinates:
Y1 0.000 0.000 0.000 (multiplicity 2)
Tm1 0.000 0.500 0.500 (multiplicity 2)
S1 0.248 0.000 0.742 (multiplicity 4)

Results
The calculation puts the total magnetization at 0.0 μB/f.u. For the uncorrected formation energy, the calculation gives -1.966 eV per atom.

[9]
The following is a DFT calculation (PBE) of crystalline LaAlTe2 at its relaxed geometry.

abc: 4.524 4.524 6.417
angles: 90.00 90.00 90.00
Space group P4/mmm (No. 123)
Inequivalent atoms, fractional coordinates:
La1 0.000 0.000 0.000 (multiplicity 1)
Al1 0.500 0.500 0.500 (multiplicity 1)
Te1 0.000 0.000 0.500 (multiplicity 1)
Te2 0.500 0.500 0.000 (multiplicity 1)

Results
The calculation puts the total magnetization at 0.0 μB/f.u. For the uncorrected formation energy, the calculation gives -0.840 eV per atom.

[10]
The following is a DFT calculation (PBE) of crystalline Pr6Sb2AsSe3 at its relaxed geometry.

abc: 19.087 4.380 8.753
angles: 90.00 102.99 90.00
Space group C2/m (No. 12)
Inequivalent atoms, fractional coordinates:
Pr1 0.002 0.000 0.262 (multiplicity 4)
Pr2 0.162 0.500 0.574 (multiplicity 4)
Pr3 0.163 0.500 0.090 (multiplicity 4)
Sb1 0.167 0.000 0.834 (multiplicity 4)
As1 0.000 0.500 0.500 (multiplicity 2)
Se1 0.000 0.500 0.000 (multiplicity 2)
Se2 0.168 0.000 0.335 (multiplicity 4)

Results
The calculation puts the total magnetization at 0.0 μB/f.u. For the uncorrected formation energy, the calculation gives -1.587 eV per atom.

[11]
The following is a DFT calculation (PBE) of crystalline Hf3CuP at its relaxed geometry.

abc: 4.769 4.769 4.769
angles: 90.00 90.00 90.00
Space group Pm-3m (No. 221)
Inequivalent atoms, fractional coordinates:
Hf1 0.000 0.000 0.500 (multiplicity 3)
Cu1 0.500 0.500 0.500 (multiplicity 1)
P1 0.000 0.000 0.000 (multiplicity 1)

Results
The value obtained for the energy relative to the elements is 0.00 eV per atom. The calculation puts the total magnetization at 0.0 μB/f.u.

[12]
The following is a DFT calculation (PBE) of crystalline Dy3Si2Pd6 at its relaxed geometry.

abc: 9.361 9.361 9.361
angles: 90.00 90.00 90.00
Space group Im-3m (No. 229)
Inequivalent atoms, fractional coordinates:
Dy1 0.000 0.000 0.287 (multiplicity 12)
Si1 0.250 0.250 0.250 (multiplicity 8)
Pd1 0.000 0.323 0.323 (multiplicity 24)

Results
The calculation puts the total magnetization at 0.0 μB/f.u. For the uncorrected formation energy, the calculation gives -0.861 eV per atom.